Here is a geometry-optimized ZrB3Pd structure from the Alexandria database. Energies are from PBE.

a b c (Å): 4.333 4.333 4.333
angles (deg): 90.00 90.00 90.00
Sites, in units of the cell vectors:
B 0.500 0.000 0.000
B 0.000 0.500 0.000
B 0.000 0.000 0.500
Zr 0.000 0.000 0.000
Pd 0.500 0.500 0.500

Computed properties:
Spin magnetization = 0.000 Bohr magnetons per cell
Energy of formation = 1853 meV/atom
Total DFT energy (no corrections) = -4.902 eV per atom